No. 1
TmMg3Tl: relaxed, PBE-GGA.

Values from the calculation:
- Energy relative to the lowest polymorph listed for this composition: 275 meV/atom
- ΔE_f: 306 meV per atom
- Crystal system: tetragonal
- V: 159.9 Å³/f.u.
- Symmetry: No. 119
- Uncorrected energy: -2.0185 eV/atom

Unit cell a=5.6361 b=5.6361 c=10.8297 alpha=105.08 beta=105.08 gamma=90.00
Fractional coordinates of all 10 atoms:
Mg: 0.3406 0.3406 0.6812
Mg: 0.1241 0.8745 0.7491
Mg: 0.6594 0.6594 0.3188
Mg: 0.6250 0.8745 0.7491
Mg: 0.1255 0.8759 0.2509
Mg: 0.1255 0.3750 0.2509
Tm: 0.5522 0.0522 0.1044
Tm: 0.9478 0.4478 0.8956
Tl: 0.0000 0.0000 0.0000
Tl: 0.2500 0.7500 0.5000

***

No. 2
Tm3MgTl2: relaxed, PBE-GGA.

Values from the calculation:
- Energy relative to the lowest polymorph listed for this composition: 0 meV/atom
- ΔE_f: -243 meV per atom
- Crystal system: orthorhombic
- V: 156.7 Å³/f.u.
- Symmetry: No. 65
- Uncorrected energy: -3.5328 eV/atom

Unit cell a=4.0981 b=5.0040 c=8.0393 alpha=108.13 beta=90.00 gamma=90.00
Fractional coordinates of all 6 atoms:
Tm: 0.5000 0.8304 0.6608
Tm: 0.5000 0.1696 0.3392
Tm: 0.5000 0.5000 0.0000
Mg: 0.0000 0.0000 0.0000
Tl: 0.0000 0.3440 0.6880
Tl: 0.0000 0.6560 0.3120

***

No. 3
Tm3Mg3Tl2: relaxed, PBE-GGA.

Values from the calculation:
- ΔE_f: -182 meV per atom
- Crystal system: orthorhombic
- V: 201.3 Å³/f.u.
- Symmetry: No. 47
- Uncorrected energy: -3.0479 eV/atom

Unit cell a=4.9495 b=4.9003 c=8.3008 alpha=90.00 beta=90.00 gamma=90.00
Fractional coordinates of all 8 atoms:
Tl: 0.0000 0.0000 0.7536
Tl: 0.0000 0.0000 0.2464
Mg: 0.5000 0.5000 0.2393
Mg: 0.5000 0.0000 0.0000
Mg: 0.5000 0.5000 0.7607
Tm: 0.0000 0.5000 0.5000
Tm: 0.0000 0.5000 0.0000
Tm: 0.5000 0.0000 0.5000

***

No. 4
Tm3MgTl2: relaxed, PBE-GGA.

Values from the calculation:
- Energy relative to the lowest polymorph listed for this composition: 57 meV/atom
- ΔE_f: -186 meV per atom
- Crystal system: monoclinic
- V: 163.6 Å³/f.u.
- Symmetry: No. 15
- Uncorrected energy: -3.4760 eV/atom

Unit cell a=6.3563 b=6.3571 c=9.2638 alpha=110.11 beta=110.06 gamma=90.00
Fractional coordinates of all 12 atoms:
Mg: 0.9999 0.7500 0.0000
Mg: 0.0001 0.2500 0.0000
Tm: 0.5000 0.2500 0.0000
Tm: 0.9456 0.1757 0.3509
Tm: 0.0544 0.8243 0.6491
Tm: 0.5000 0.7500 0.0000
Tm: 0.4053 0.6757 0.3509
Tm: 0.5947 0.3243 0.6491
Tl: 0.6083 0.8647 0.7298
Tl: 0.8785 0.6353 0.2702
Tl: 0.1215 0.3647 0.7298
Tl: 0.3917 0.1353 0.2702

***

No. 5
Tm4Mg3Tl: relaxed, PBE-GGA.

Values from the calculation:
- ΔE_f: -133 meV per atom
- Crystal system: tetragonal
- V: 210.4 Å³/f.u.
- Symmetry: No. 123
- Uncorrected energy: -3.2627 eV/atom

Unit cell a=3.7606 b=3.7606 c=14.8744 alpha=90.00 beta=90.00 gamma=90.00
Fractional coordinates of all 8 atoms:
Tm: 0.0000 0.0000 0.6263
Tm: 0.0000 0.0000 0.1273
Tm: 0.0000 0.0000 0.3737
Tm: 0.0000 0.0000 0.8727
Mg: 0.5000 0.5000 0.5000
Mg: 0.5000 0.5000 0.2526
Mg: 0.5000 0.5000 0.7474
Tl: 0.5000 0.5000 0.0000

***

No. 6
TmMg3Tl6: relaxed, PBE-GGA.

Values from the calculation:
- ΔE_f: -56 meV per atom
- Crystal system: monoclinic
- V: 260.8 Å³/f.u.
- Symmetry: No. 11
- Uncorrected energy: -2.4015 eV/atom

Unit cell a=4.9888 b=13.1030 c=11.2139 alpha=134.64 beta=90.00 gamma=90.00
Fractional coordinates of all 20 atoms:
Tl: 0.2500 0.2613 0.7501
Tl: 0.2500 0.1403 0.9313
Tl: 0.7500 0.9368 0.8456
Tl: 0.2500 0.0632 0.1544
Tl: 0.2500 0.4535 0.3497
Tl: 0.7500 0.1718 0.4748
Tl: 0.7500 0.3648 0.0681
Tl: 0.2500 0.8282 0.5252
Tl: 0.7500 0.8597 0.0687
Tl: 0.2500 0.6352 0.9319
Tl: 0.7500 0.5465 0.6503
Tl: 0.7500 0.7387 0.2499
Mg: 0.7500 0.4494 0.8626
Mg: 0.7500 0.2569 0.2573
Mg: 0.2500 0.5506 0.1374
Mg: 0.2500 0.3501 0.5424
Mg: 0.2500 0.7431 0.7427
Mg: 0.7500 0.6499 0.4576
Tm: 0.7500 0.0525 0.6588
Tm: 0.2500 0.9475 0.3412

***

No. 7
TmMg14Tl: relaxed, PBE-GGA.

Values from the calculation:
- ΔE_f: 3 meV per atom
- Crystal system: tetragonal
- V: 381.7 Å³/f.u.
- Symmetry: No. 123
- Uncorrected energy: -1.8197 eV/atom

Unit cell a=6.6396 b=6.6396 c=8.6577 alpha=90.00 beta=90.00 gamma=90.00
Fractional coordinates of all 16 atoms:
Tl: 0.3750 0.3750 0.5000
Mg: 0.8750 0.3750 0.0000
Mg: 0.1249 0.6251 0.7568
Mg: 0.6251 0.1249 0.7568
Mg: 0.1249 0.1249 0.2432
Mg: 0.3750 0.3750 0.0000
Mg: 0.6251 0.1249 0.2432
Mg: 0.1249 0.6251 0.2432
Mg: 0.6251 0.6251 0.7568
Mg: 0.8750 0.8750 0.0000
Mg: 0.8750 0.3750 0.5000
Mg: 0.6251 0.6251 0.2432
Mg: 0.1249 0.1249 0.7568
Mg: 0.3750 0.8750 0.0000
Mg: 0.3750 0.8750 0.5000
Tm: 0.8750 0.8750 0.5000

***

No. 8
Tm4MgTl2: relaxed, PBE-GGA.

Values from the calculation:
- Energy relative to the lowest polymorph listed for this composition: 140 meV/atom
- ΔE_f: 10 meV per atom
- Crystal system: trigonal
- V: 208.9 Å³/f.u.
- Symmetry: No. 166
- Uncorrected energy: -3.4490 eV/atom

Unit cell a=5.3124 b=5.3124 c=9.0802 alpha=72.99 beta=72.99 gamma=60.00
Fractional coordinates of all 7 atoms:
Tl: 0.6076 0.6076 0.1771
Tl: 0.3924 0.3924 0.8229
Tm: 0.2735 0.2735 0.1796
Tm: 0.1291 0.1291 0.6127
Tm: 0.7265 0.7265 0.8204
Tm: 0.8709 0.8709 0.3873
Mg: 0.5000 0.5000 0.5000

***

No. 9
TmMgTl: relaxed, PBE-GGA.

Values from the calculation:
- ΔE_f: -138 meV per atom
- Crystal system: cubic
- V: 84.8 Å³/f.u.
- Symmetry: No. 216
- Uncorrected energy: -2.9485 eV/atom

Unit cell a=4.9307 b=4.9307 c=4.9307 alpha=60.00 beta=60.00 gamma=60.00
Fractional coordinates of all 3 atoms:
Tl: 0.2500 0.2500 0.2500
Tm: 0.0000 0.0000 0.0000
Mg: 0.5000 0.5000 0.5000

***

No. 10
TmMgTl: relaxed, PBE-GGA.

Values from the calculation:
- ΔE_f: -288 meV per atom
- Crystal system: hexagonal
- V: 74.9 Å³/f.u.
- Symmetry: No. 189
- Uncorrected energy: -3.0987 eV/atom

Unit cell a=4.6453 b=7.4745 c=7.4745 alpha=120.00 beta=90.00 gamma=90.00
Fractional coordinates of all 9 atoms:
Mg: 0.5000 0.0000 0.7572
Mg: 0.5000 0.2428 0.2428
Mg: 0.5000 0.7572 0.0000
Tl: 0.0000 0.0000 0.0000
Tl: 0.5000 0.6667 0.3333
Tl: 0.5000 0.3333 0.6667
Tm: 0.0000 0.0000 0.4327
Tm: 0.0000 0.4327 0.0000
Tm: 0.0000 0.5673 0.5673

***

No. 11
Tm2Mg2Tl: relaxed, PBE-GGA.

Values from the calculation:
- Energy relative to the lowest polymorph listed for this composition: 17 meV/atom
- ΔE_f: -118 meV per atom
- Crystal system: monoclinic
- V: 128.4 Å³/f.u.
- Symmetry: No. 12
- Uncorrected energy: -3.0179 eV/atom

Unit cell a=5.1311 b=6.1910 c=9.6195 alpha=98.05 beta=74.53 gamma=65.52
Fractional coordinates of all 10 atoms:
Mg: 0.0626 0.2986 0.5763
Mg: 0.3333 0.1926 0.1408
Mg: 0.9374 0.7014 0.4237
Mg: 0.6667 0.8074 0.8592
Tl: 0.5445 0.2000 0.7111
Tl: 0.4555 0.8000 0.2889
Tm: 0.1044 0.7345 0.0567
Tm: 0.8956 0.2655 0.9433
Tm: 0.3031 0.7357 0.6580
Tm: 0.6969 0.2643 0.3420

***

No. 12
TmMg5Tl8: relaxed, PBE-GGA.

Values from the calculation:
- ΔE_f: -7 meV per atom
- Crystal system: tetragonal
- V: 372.3 Å³/f.u.
- Symmetry: No. 82
- Uncorrected energy: -2.2476 eV/atom

Unit cell a=7.8495 b=7.8495 c=7.8495 alpha=109.43 beta=109.55 gamma=109.43
Fractional coordinates of all 14 atoms:
Tl: 0.1334 0.7348 0.0593
Tl: 0.0933 0.7355 0.4933
Tl: 0.5067 0.5999 0.2422
Tl: 0.6422 0.4001 0.9067
Tl: 0.3245 0.2652 0.3985
Tl: 0.9407 0.0741 0.6755
Tl: 0.6015 0.9259 0.8666
Tl: 0.7578 0.2645 0.3578
Mg: 0.0263 0.3402 0.1154
Mg: 0.8846 0.9109 0.2249
Mg: 0.7751 0.6598 0.6861
Mg: 0.3139 0.0891 0.9737
Mg: 0.5000 0.0000 0.5000
Tm: 0.2500 0.5000 0.7500